Density functional theory data (PBE-GGA) for a geometry-optimized BaLi6Pd6 structure.

The theoretical density is 6.0 g cm⁻³. The value obtained for the density of states at the Fermi level is 10.7 states/eV per cell. The formation energy from the elements comes out at -0.44 eV per atom. Its magnetic moment is 0.00 μB per cell.

It has space group Immm (No. 71), with a = 5.4283 Å, b = 8.7853 Å, c = 9.4178 Å, α = 90.00°, β = 90.00° and γ = 90.00°. The distinct sites, in fractional coordinates, are Ba at (0.0000, 0.0000, 0.0000), Li at (0.0000, 0.0000, 0.3570), Li at (0.0000, 0.3429, 0.0000), Li at (0.0000, 0.5000, 0.2942), Pd at (0.0000, 0.2620, 0.5000) and Pd at (0.2500, 0.2500, 0.2500).

***

Density functional theory data (PBE-GGA) for a geometry-optimized BaLi3Pd structure.

The theoretical density is 3.4 g cm⁻³. The value obtained for the density of states at the Fermi level is 6.4 states/eV per cell. The calculation puts the energy above the most stable polymorph in this dataset at 80 meV per atom. The formation energy from the elements comes out at -0.12 eV per atom. Its magnetic moment is 0.00 μB per cell.

It has space group P6_3/mmc (No. 194), with a = 7.0703 Å, b = 7.0703 Å, c = 6.0430 Å, α = 90.00°, β = 90.00° and γ = 120.00°. The distinct sites, in fractional coordinates, are Ba at (0.3333, 0.6667, 0.2500), Li at (0.1658, 0.3316, 0.7500) and Pd at (0.0000, 0.0000, 0.0000).